Record 1
Entry from the Alexandria database: RbTa2I2 after structural relaxation (PBE).

## Properties
Formation energy without anion corrections: 878 meV/atom
E_tot: -4.677 eV/atom
N(E_F): 4.23 states/eV/f.u.

a = 9.483 Å, b = 9.483 Å, c = 3.427 Å
α = 90.00°, β = 90.00°, γ = 90.00°
Fractional positions:
Rb 0.000 0.000 0.000
Rb 0.500 0.500 0.000
Ta 0.091 0.409 0.500
Ta 0.409 0.909 0.500
Ta 0.591 0.091 0.500
Ta 0.909 0.591 0.500
I 0.159 0.659 0.000
I 0.341 0.159 0.000
I 0.659 0.841 0.000
I 0.841 0.341 0.000

Record 2
Entry from the Alexandria database: CeDy8Tm4 after structural relaxation (PBE).

## Properties
Formation enthalpy at 0 K: 0.1684 eV/atom
E_tot: -4.496 eV/atom
N(E_F): 20.05 states/eV/f.u.

a = 9.816 Å, b = 9.816 Å, c = 9.816 Å
α = 43.20°, β = 43.20°, γ = 43.20°
Fractional positions:
Ce 0.000 0.000 0.000
Dy 0.245 0.245 0.700
Dy 0.245 0.700 0.245
Dy 0.279 0.279 0.279
Dy 0.300 0.755 0.755
Dy 0.700 0.245 0.245
Dy 0.721 0.721 0.721
Dy 0.755 0.300 0.755
Dy 0.755 0.755 0.300
Tm 0.000 0.000 0.500
Tm 0.000 0.500 0.000
Tm 0.500 0.000 0.000
Tm 0.500 0.500 0.500

Record 3
Entry from the Alexandria database: Er4CS after structural relaxation (PBE).

## Properties
Formation energy without anion corrections: -813 meV/atom
E_tot: -6.080 eV/atom
N(E_F): 4.99 states/eV/f.u.

a = 6.311 Å, b = 3.665 Å, c = 6.455 Å
α = 90.00°, β = 108.76°, γ = 90.00°
Fractional positions:
Er 0.235 0.000 0.217
Er 0.244 0.500 0.773
Er 0.756 0.500 0.227
Er 0.765 0.000 0.783
C 0.000 0.500 0.000
S 0.000 0.000 0.500

Record 4
Entry from the Alexandria database: ScHg2Pd2 after structural relaxation (PBE).

## Properties
Formation enthalpy at 0 K: -0.3888 eV/atom
E_tot: -3.853 eV/atom
N(E_F): 2.29 states/eV/f.u.

a = 6.990 Å, b = 6.990 Å, c = 3.997 Å
α = 90.00°, β = 90.00°, γ = 90.00°
Fractional positions:
Sc 0.000 0.000 0.000
Sc 0.500 0.500 0.000
Hg 0.164 0.336 0.500
Hg 0.336 0.836 0.500
Hg 0.664 0.164 0.500
Hg 0.836 0.664 0.500
Pd 0.139 0.639 0.000
Pd 0.361 0.139 0.000
Pd 0.639 0.861 0.000
Pd 0.861 0.361 0.000

Record 5
Entry from the Alexandria database: Tm6TiIn5 after structural relaxation (PBE).

## Properties
Formation enthalpy at 0 K: -0.3534 eV/atom
E_tot: -4.388 eV/atom
N(E_F): 6.70 states/eV/f.u.

a = 9.092 Å, b = 9.092 Å, c = 9.092 Å
α = 146.37°, β = 132.53°, γ = 59.43°
Fractional positions:
Tm 0.083 0.834 0.249
Tm 0.250 0.500 0.750
Tm 0.415 0.166 0.249
Tm 0.585 0.834 0.751
Tm 0.750 0.500 0.250
Tm 0.917 0.166 0.751
Ti 0.000 0.000 0.000
In 0.159 0.659 0.500
In 0.333 0.333 0.000
In 0.500 0.000 0.500
In 0.667 0.667 0.000
In 0.841 0.341 0.500

Record 6
Entry from the Alexandria database: Cs2K2Sb after structural relaxation (PBE).

## Properties
Formation energy without anion corrections: -162 meV/atom
E_tot: -1.767 eV/atom
N(E_F): 3.51 states/eV/f.u.

a = 9.162 Å, b = 9.162 Å, c = 6.989 Å
α = 90.00°, β = 90.00°, γ = 90.00°
Fractional positions:
Cs 0.209 0.291 0.000
Cs 0.291 0.791 0.000
Cs 0.709 0.209 0.000
Cs 0.791 0.709 0.000
K 0.154 0.654 0.500
K 0.346 0.154 0.500
K 0.654 0.846 0.500
K 0.846 0.346 0.500
Sb 0.000 0.000 0.500
Sb 0.500 0.500 0.500

Record 7
Entry from the Alexandria database: Ca2TaCl after structural relaxation (PBE).

## Properties
Formation energy without anion corrections: -330 meV/atom
E_tot: -4.756 eV/atom
N(E_F): 3.35 states/eV/f.u.

a = 3.275 Å, b = 3.275 Å, c = 8.939 Å
α = 90.00°, β = 90.00°, γ = 90.00°
Fractional positions:
Ca 0.000 0.000 0.239
Ca 0.000 0.000 0.761
Ta 0.500 0.500 0.500
Cl 0.500 0.500 0.000

Record 8
Entry from the Alexandria database: TlInTeF2 after structural relaxation (PBE).

## Properties
Formation energy without anion corrections: -1362 meV/atom
E_tot: -3.759 eV/atom
N(E_F): 2.69 states/eV/f.u.

a = 4.552 Å, b = 4.552 Å, c = 5.848 Å
α = 90.00°, β = 90.00°, γ = 90.00°
Fractional positions:
Tl 0.000 0.000 0.000
In 0.500 0.500 0.500
Te 0.500 0.500 0.000
F 0.000 0.500 0.500
F 0.500 0.000 0.500

Record 9
Entry from the Alexandria database: TbPu2Ru after structural relaxation (PBE).

## Properties
Formation enthalpy at 0 K: 0.0103 eV/atom
E_tot: -10.632 eV/atom
N(E_F): 11.63 states/eV/f.u.

a = 3.360 Å, b = 3.360 Å, c = 8.685 Å
α = 90.00°, β = 90.00°, γ = 90.00°
Fractional positions:
Tb 0.000 0.000 0.000
Pu 0.500 0.500 0.305
Pu 0.500 0.500 0.695
Ru 0.000 0.000 0.500

Record 10
Entry from the Alexandria database: Zn2GaRh5 after structural relaxation (PBE).

## Properties
Formation enthalpy at 0 K: -0.3125 eV/atom
E_tot: -5.604 eV/atom
N(E_F): 8.79 states/eV/f.u.

a = 7.692 Å, b = 7.692 Å, c = 7.692 Å
α = 150.14°, β = 150.14°, γ = 42.74°
Fractional positions:
Zn 0.249 0.249 0.000
Zn 0.751 0.751 0.000
Ga 0.000 0.000 0.000
Rh 0.126 0.626 0.500
Rh 0.374 0.874 0.500
Rh 0.500 0.500 0.000
Rh 0.626 0.126 0.500
Rh 0.874 0.374 0.500

Record 11
Entry from the Alexandria database: YMgGa2 after structural relaxation (PBE).

## Properties
Formation enthalpy at 0 K: -0.4037 eV/atom
E_tot: -3.932 eV/atom
N(E_F): 1.78 states/eV/f.u.

a = 5.636 Å, b = 5.636 Å, c = 5.636 Å
α = 46.71°, β = 46.71°, γ = 46.71°
Fractional positions:
Y 0.000 0.000 0.000
Mg 0.500 0.500 0.500
Ga 0.224 0.224 0.224
Ga 0.776 0.776 0.776

Record 12
Entry from the Alexandria database: AcThSe4 after structural relaxation (PBE).

## Properties
Formation energy without anion corrections: -1616 meV/atom
E_tot: -5.861 eV/atom
N(E_F): 6.70 states/eV/f.u.

a = 5.138 Å, b = 5.138 Å, c = 8.896 Å
α = 109.43°, β = 109.43°, γ = 58.30°
Fractional positions:
Ac 0.000 0.000 0.000
Th 0.500 0.500 0.500
Se 0.133 0.133 0.396
Se 0.381 0.381 0.142
Se 0.619 0.619 0.858
Se 0.867 0.867 0.604

Record 13
Entry from the Alexandria database: K2InB2O6 after structural relaxation (PBE).

## Properties
Formation energy without anion corrections: -1924 meV/atom
E_tot: -6.291 eV/atom
N(E_F): 5.34 states/eV/f.u.

a = 5.399 Å, b = 5.399 Å, c = 6.568 Å
α = 90.00°, β = 90.00°, γ = 120.00°
Fractional positions:
K 0.333 0.667 0.334
K 0.667 0.333 0.666
In 0.000 0.000 0.000
B 0.333 0.667 0.813
B 0.667 0.333 0.187
O 0.186 0.372 0.801
O 0.186 0.814 0.801
O 0.372 0.186 0.199
O 0.628 0.814 0.801
O 0.814 0.186 0.199
O 0.814 0.628 0.199

Record 14
Entry from the Alexandria database: As2PbBrF after structural relaxation (PBE).

## Properties
Formation energy without anion corrections: 582 meV/atom
E_tot: -2.728 eV/atom
N(E_F): 10.02 states/eV/f.u.

a = 5.607 Å, b = 5.607 Å, c = 5.628 Å
α = 90.00°, β = 90.00°, γ = 90.00°
Fractional positions:
As 0.000 0.500 0.000
As 0.500 0.000 0.000
Pb 0.000 0.000 0.000
Br 0.000 0.000 0.500
F 0.500 0.500 0.500

Record 15
Entry from the Alexandria database: Tc2Pt2I after structural relaxation (PBE).

## Properties
Formation energy without anion corrections: 538 meV/atom
E_tot: -6.335 eV/atom
N(E_F): 4.92 states/eV/f.u.

a = 6.828 Å, b = 6.828 Å, c = 6.828 Å
α = 147.54°, β = 147.54°, γ = 46.56°
Fractional positions:
Tc 0.099 0.099 0.000
Tc 0.901 0.901 0.000
Pt 0.250 0.750 0.500
Pt 0.750 0.250 0.500
I 0.500 0.500 0.000

Record 16
Entry from the Alexandria database: ZrTcNi2 after structural relaxation (PBE).

## Properties
Formation enthalpy at 0 K: -0.1319 eV/atom
E_tot: -7.751 eV/atom
N(E_F): 4.11 states/eV/f.u.

a = 2.770 Å, b = 4.303 Å, c = 4.822 Å
α = 90.00°, β = 95.20°, γ = 90.00°
Fractional positions:
Zr 0.000 0.000 0.000
Tc 0.142 0.500 0.631
Ni 0.551 0.500 0.186
Ni 0.556 0.000 0.492

Record 17
Entry from the Alexandria database: Ac4PmRh3 after structural relaxation (PBE).

## Properties
Formation enthalpy at 0 K: -0.5863 eV/atom
E_tot: -5.991 eV/atom
N(E_F): 4.01 states/eV/f.u.

a = 8.018 Å, b = 8.018 Å, c = 11.000 Å
α = 110.71°, β = 110.71°, γ = 55.42°
Fractional positions:
Ac 0.030 0.362 0.420
Ac 0.163 0.837 0.500
Ac 0.362 0.030 0.920
Ac 0.427 0.765 0.206
Ac 0.621 0.968 0.606
Ac 0.765 0.427 0.706
Ac 0.837 0.163 0.000
Ac 0.968 0.621 0.106
Pm 0.228 0.576 0.808
Pm 0.576 0.228 0.308
Rh 0.000 0.983 0.745
Rh 0.206 0.206 0.177
Rh 0.206 0.206 0.677
Rh 0.593 0.594 0.455
Rh 0.594 0.593 0.955
Rh 0.983 0.000 0.245

Record 18
Entry from the Alexandria database: KErAgTe3 after structural relaxation (PBE).

## Properties
Formation energy without anion corrections: -895 meV/atom
E_tot: -3.885 eV/atom
N(E_F): 3.88 states/eV/f.u.

a = 8.556 Å, b = 8.556 Å, c = 11.281 Å
α = 90.00°, β = 90.00°, γ = 151.09°
Fractional positions:
K 0.242 0.758 0.750
K 0.758 0.242 0.250
Er 0.000 0.000 0.000
Er 0.000 0.000 0.500
Ag 0.468 0.532 0.250
Ag 0.532 0.468 0.750
Te 0.079 0.921 0.250
Te 0.371 0.629 0.049
Te 0.371 0.629 0.451
Te 0.629 0.371 0.549
Te 0.629 0.371 0.951
Te 0.921 0.079 0.750

Record 19
Entry from the Alexandria database: Tm3GeTe2 after structural relaxation (PBE).

## Properties
Formation energy without anion corrections: -1212 meV/atom
E_tot: -5.265 eV/atom
N(E_F): 1.64 states/eV/f.u.

a = 14.055 Å, b = 13.401 Å, c = 7.376 Å
α = 79.38°, β = 69.57°, γ = 31.05°
Fractional positions:
Tm 0.037 0.536 0.186
Tm 0.096 0.654 0.654
Tm 0.186 0.741 0.037
Tm 0.259 0.814 0.464
Tm 0.346 0.904 0.904
Tm 0.464 0.963 0.259
Tm 0.536 0.037 0.741
Tm 0.654 0.096 0.096
Tm 0.741 0.186 0.536
Tm 0.814 0.259 0.963
Tm 0.904 0.346 0.346
Tm 0.963 0.464 0.814
Ge 0.041 0.041 0.209
Ge 0.209 0.209 0.041
Ge 0.791 0.791 0.959
Ge 0.959 0.959 0.791
Te 0.128 0.128 0.622
Te 0.295 0.295 0.455
Te 0.378 0.378 0.872
Te 0.455 0.455 0.295
Te 0.545 0.545 0.705
Te 0.622 0.622 0.128
Te 0.705 0.705 0.545
Te 0.872 0.872 0.378

Record 20
Entry from the Alexandria database: Nd2YTm after structural relaxation (PBE).

## Properties
Formation enthalpy at 0 K: 0.1774 eV/atom
E_tot: -4.940 eV/atom
N(E_F): 7.56 states/eV/f.u.

a = 12.712 Å, b = 12.712 Å, c = 12.712 Å
α = 15.93°, β = 15.93°, γ = 15.93°
Fractional positions:
Nd 0.090 0.090 0.090
Nd 0.910 0.910 0.910
Y 0.000 0.000 0.000
Tm 0.500 0.500 0.500

Record 21
Entry from the Alexandria database: KNb2Rh2 after structural relaxation (PBE).

## Properties
Formation enthalpy at 0 K: 0.1099 eV/atom
E_tot: -7.078 eV/atom
N(E_F): 4.07 states/eV/f.u.

a = 8.214 Å, b = 8.214 Å, c = 2.825 Å
α = 90.00°, β = 90.00°, γ = 90.00°
Fractional positions:
K 0.000 0.000 0.000
K 0.500 0.500 0.000
Nb 0.120 0.380 0.000
Nb 0.380 0.880 0.000
Nb 0.620 0.120 0.000
Nb 0.880 0.620 0.000
Rh 0.169 0.669 0.500
Rh 0.331 0.169 0.500
Rh 0.669 0.831 0.500
Rh 0.831 0.331 0.500

Record 22
Entry from the Alexandria database: Ba2NpAuS5 after structural relaxation (PBE).

## Properties
Formation energy without anion corrections: -1382 meV/atom
E_tot: -5.904 eV/atom
N(E_F): 5.92 states/eV/f.u.

a = 9.355 Å, b = 9.355 Å, c = 12.794 Å
α = 90.00°, β = 90.00°, γ = 154.46°
Fractional positions:
Ba 0.115 0.885 0.500
Ba 0.121 0.879 0.126
Ba 0.879 0.121 0.626
Ba 0.885 0.115 0.000
Np 0.202 0.798 0.823
Np 0.798 0.202 0.323
Au 0.441 0.559 0.240
Au 0.559 0.441 0.740
S 0.063 0.937 0.850
S 0.292 0.708 0.459
S 0.298 0.702 0.185
S 0.344 0.656 0.815
S 0.499 0.501 0.572
S 0.501 0.499 0.072
S 0.656 0.344 0.315
S 0.702 0.298 0.685
S 0.708 0.292 0.959
S 0.937 0.063 0.350

Record 23
Entry from the Alexandria database: Mg5Cd4Ag2 after structural relaxation (PBE).

## Properties
Formation enthalpy at 0 K: -0.1451 eV/atom
E_tot: -1.721 eV/atom
N(E_F): 2.63 states/eV/f.u.

a = 7.710 Å, b = 17.842 Å, c = 3.321 Å
α = 90.00°, β = 90.00°, γ = 90.00°
Fractional positions:
Mg 0.000 0.000 0.000
Mg 0.130 0.426 0.000
Mg 0.244 0.216 0.000
Mg 0.256 0.716 0.000
Mg 0.370 0.926 0.000
Mg 0.500 0.500 0.000
Mg 0.630 0.074 0.000
Mg 0.744 0.284 0.000
Mg 0.756 0.784 0.000
Mg 0.870 0.574 0.000
Cd 0.075 0.853 0.500
Cd 0.208 0.567 0.500
Cd 0.292 0.067 0.500
Cd 0.425 0.353 0.500
Cd 0.575 0.647 0.500
Cd 0.708 0.933 0.500
Cd 0.792 0.433 0.500
Cd 0.925 0.147 0.500
Ag 0.037 0.306 0.500
Ag 0.463 0.806 0.500
Ag 0.537 0.194 0.500
Ag 0.963 0.694 0.500